The following is a DFT calculation (PBEsol) of an optimized crystal structure of CoTeRh.

Cell lengths 3.464, 3.464, 4.529 Å; angles 112.48, 112.48, 90.00 degrees
Site moments in Bohr magnetons follow the coordinates.
Atoms (fractional coordinates):
Co 0.007 0.007 0.013  1.20
Te 0.330 0.330 0.659  -0.03
Rh 0.664 0.664 0.328  0.11

Results
DOS(E_F): 1.67 states/eV/atom
formation energy from raw total energies: 0.17 eV per atom